Density functional theory data (GGA+U) for a relaxed structure of FeSbO3.

Cell and atoms, written as POSCAR:
```
FeSbO3
1.0
-3.790 -0.139 -0.811
-0.519 -2.560 2.866
-0.638 2.910 2.483
Sb Fe O
1 1 3
direct
0.500 0.500 0.500 Sb
0.000 0.000 0.000 Fe
0.000 0.500 0.000 O
0.000 0.000 0.500 O
0.500 0.000 0.000 O
```

Calculated values
Total energy (eV per atom): -5.846